[1]
Compound: SrHgBi3
Source: Alexandria
Functional: GGA-PBE
Structure: optimized geometry

Lattice parameters (Å, degrees): 7.620 7.038 10.195 103.31 111.95 51.97
Positions (direct):
Sr 0.411 0.250 0.822
Sr 0.589 0.750 0.178
Hg 0.135 0.250 0.270
Hg 0.865 0.750 0.730
Bi 0.886 0.354 0.496
Bi 0.610 0.146 0.496
Bi 0.390 0.854 0.504
Bi 0.114 0.646 0.504
Bi 0.000 0.000 0.000
Bi 0.000 0.500 0.000

Results
Distance to the lowest polymorph of the same formula ... 0.0 meV/atom
ΔH_f (0 K) ... -145.5 meV/atom
Energy ... -28.708 eV per cell
Magnetization ... 0.000 μB/cell



[2]
Compound: Sr2HgBi
Source: Alexandria
Functional: GGA-PBE
Structure: optimized geometry

Lattice parameters (Å, degrees): 7.615 7.615 7.615 63.17 150.29 125.65
Positions (direct):
Sr 0.000 0.243 0.243
Sr 0.000 0.757 0.757
Hg 0.000 0.000 0.000
Bi 0.000 0.500 0.500

Results
Distance to the lowest polymorph of the same formula ... 809.9 meV/atom
ΔH_f (0 K) ... 80.9 meV/atom
Energy ... -7.223 eV per cell
Magnetization ... 0.000 μB/cell



| no. | calculated density (Mg/m³) |
| --- | --- |
| 1 | 7.608 |
| 2 | 5.512 |